# 1
A plane-wave DFT calculation with GGA-PBE was carried out for a relaxed structure of La3Ho2Er8.

abc: 5.5550 6.7958 12.2511
angles: 69.48 103.13 90.01
Closest atoms and distances in Å follow each position.
Fractional coordinates of all 13 atoms:
La  0.5115  0.2711  0.0231  1 La 2.96, 1 Er 3.25
Ho  0.2298  0.3513  0.4595  9 Er 3.31-3.66
Er  0.6691  0.1814  0.3384  7 Er 3.32-3.61, 3 Ho 3.51-3.55, 1 La 3.59
La  0.0000  0.0000  0.0000  4 La 3.40, 2 Er 3.59
Er  0.3755  0.2734  0.7502  1 La 3.25, 1 Ho 3.31, 4 Er 3.45-3.61
Er  0.0784  0.4386  0.1569  1 Ho 3.44, 6 Er 3.53-3.79, 5 La 3.59-3.63
Er  0.9216  0.5614  0.8431  1 Ho 3.44, 6 Er 3.53-3.79, 5 La 3.59-3.63
Er  0.3309  0.8186  0.6616  7 Er 3.32-3.61, 3 Ho 3.51-3.55, 1 La 3.59
Er  0.6245  0.7266  0.2498  1 La 3.25, 1 Ho 3.31, 4 Er 3.45-3.61
Er  0.8219  0.0957  0.6435  6 Er 3.32-3.55, 4 Ho 3.51-3.66
La  0.4885  0.7289  0.9769  1 La 2.96, 1 Er 3.25
Er  0.1781  0.9043  0.3565  6 Er 3.32-3.55, 4 Ho 3.51-3.66
Ho  0.7702  0.6487  0.5405  9 Er 3.31-3.66

Summary:
As for the mass density: 8.2 Mg/m³. The value obtained for the total DFT energy (no corrections) is -4.56 eV/atom.



# 2
A plane-wave DFT calculation with GGA-PBE was carried out for a relaxed structure of LaHo3Er6.

abc: 8.8877 8.9676 8.9676
angles: 116.66 90.00 90.00
Closest atoms and distances in Å follow each position.
Fractional coordinates of all 20 atoms:
Er  0.6041  0.1878  0.3052  3 Ho 3.27-3.48, 5 Er 3.30-3.65, 1 La 3.54
Er  0.1443  0.7122  0.2878  3 Ho 3.33-3.49, 2 Er 3.36, 1 La 3.39
La  0.0107  0.2252  0.7748  6 Er 3.30-3.54, 1 Ho 3.58
Er  0.2753  0.1734  0.4718  4 Er 3.31-3.59, 3 Ho 3.35-3.65, 1 La 3.46
Er  0.2868  0.9476  0.0524  6 Er 3.30-3.65, 1 La 3.30, 2 Ho 3.62
Er  0.1041  0.8122  0.6948  3 Ho 3.27-3.48, 5 Er 3.30-3.65, 1 La 3.54
Er  0.7868  0.0524  0.9476  6 Er 3.30-3.65, 1 La 3.30, 2 Ho 3.62
Er  0.1041  0.3052  0.1878  3 Ho 3.27-3.48, 5 Er 3.30-3.65, 1 La 3.54
Er  0.6041  0.6948  0.8122  3 Ho 3.27-3.48, 5 Er 3.30-3.65, 1 La 3.54
Er  0.6443  0.2878  0.7122  3 Ho 3.33-3.49, 2 Er 3.36, 1 La 3.39
Er  0.2753  0.5282  0.8266  4 Er 3.31-3.59, 3 Ho 3.35-3.65, 1 La 3.46
Er  0.7753  0.4718  0.1734  4 Er 3.31-3.59, 3 Ho 3.35-3.65, 1 La 3.46
Ho  0.4343  0.3134  0.0305  2 Ho 3.24-3.41, 6 Er 3.27-3.62
Ho  0.9343  0.6866  0.9695  2 Ho 3.24-3.41, 6 Er 3.27-3.62
Ho  0.9343  0.0305  0.3134  2 Ho 3.24-3.41, 6 Er 3.27-3.62
La  0.5107  0.7748  0.2252  6 Er 3.30-3.54, 1 Ho 3.58
Ho  0.4162  0.5471  0.4529  7 Er 3.33-3.66, 2 Ho 3.41, 1 La 3.58
Ho  0.9162  0.4529  0.5471  7 Er 3.33-3.66, 2 Ho 3.41, 1 La 3.58
Ho  0.4343  0.9695  0.6866  2 Ho 3.24-3.41, 6 Er 3.27-3.62
Er  0.7753  0.8266  0.5282  4 Er 3.31-3.59, 3 Ho 3.35-3.65, 1 La 3.46

Summary:
As for the mass density: 8.5 Mg/m³. The value obtained for the distance to the lowest polymorph of the same formula is 0.000 eV per atom.



# 3
A plane-wave DFT calculation with GGA-PBE was carried out for a relaxed structure of La4Ho5Er2.

abc: 3.5473 8.8330 12.3081
angles: 100.05 98.29 90.00
Closest atoms and distances in Å follow each position.
Fractional coordinates of all 11 atoms:
Er  0.1023  0.1849  0.2046  4 Ho 3.17-3.46, 2 La 3.53
La  0.9713  0.3087  0.9427  5 La 3.42-3.55, 2 Ho 3.43, 1 Er 3.55
La  0.0287  0.6913  0.0573  5 La 3.42-3.55, 2 Ho 3.43, 1 Er 3.55
Ho  0.1858  0.9057  0.3717  1 Er 3.46, 7 Ho 3.55-3.72, 2 La 3.76
Ho  0.5000  0.0000  0.0000  4 Er 3.25, 4 La 3.43, 2 Ho 3.55
Ho  0.2311  0.3266  0.4621  1 Er 3.17, 1 La 3.40, 2 Ho 3.52
Er  0.8977  0.8151  0.7954  4 Ho 3.17-3.46, 2 La 3.53
Ho  0.8142  0.0943  0.6283  1 Er 3.46, 7 Ho 3.55-3.72, 2 La 3.76
La  0.6296  0.5352  0.2591  5 Ho 3.40-3.78, 4 La 3.50-3.55, 2 Er 3.53
La  0.3704  0.4648  0.7409  5 Ho 3.40-3.78, 4 La 3.50-3.55, 2 Er 3.53
Ho  0.7689  0.6734  0.5379  1 Er 3.17, 1 La 3.40, 2 Ho 3.52

Summary:
As for the mass density: 7.6 Mg/m³. The value obtained for the distance to the lowest polymorph of the same formula is 0.165 eV per atom.



# 4
A plane-wave DFT calculation with GGA-PBE was carried out for a relaxed structure of La4Ho8Er.

abc: 7.7964 7.7964 7.7964
angles: 90.17 90.17 90.17
Closest atoms and distances in Å follow each position.
Fractional coordinates of all 13 atoms:
Ho  0.7603  0.7603  0.7603  4 La 3.23-3.43, 1 Er 3.50
La  0.0000  0.0000  0.0000  8 Ho 3.23-3.24
Ho  0.7608  0.7608  0.2411  4 La 3.24-3.42, 1 Er 3.52
Er  0.5000  0.5000  0.5000  8 Ho 3.50-3.52, 6 La 3.90
Ho  0.2392  0.7589  0.2392  4 La 3.24-3.42, 1 Er 3.52
Ho  0.7608  0.2411  0.7608  4 La 3.24-3.42, 1 Er 3.52
Ho  0.7589  0.2392  0.2392  4 La 3.24-3.42, 1 Er 3.52
La  0.5000  0.5000  0.0000  8 Ho 3.42-3.43
Ho  0.2411  0.7608  0.7608  4 La 3.24-3.42, 1 Er 3.52
Ho  0.2397  0.2397  0.2397  4 La 3.23-3.43, 1 Er 3.50
Ho  0.2392  0.2392  0.7589  4 La 3.24-3.42, 1 Er 3.52
La  0.0000  0.5000  0.5000  8 Ho 3.42-3.43
La  0.5000  0.0000  0.5000  8 Ho 3.42-3.43

Summary:
As for the mass density: 7.2 Mg/m³. The value obtained for the total DFT energy (no corrections) is -4.14 eV/atom.



# 5
A plane-wave DFT calculation with GGA-PBE was carried out for a relaxed structure of La2Ho7Er2.

abc: 6.8768 9.4070 6.8768
angles: 90.07 123.49 89.93
Closest atoms and distances in Å follow each position.
Fractional coordinates of all 11 atoms:
Ho  0.9998  0.6859  0.5003  3 Ho 3.25-3.50, 2 Er 3.39, 2 La 3.50
La  0.2513  0.5000  0.2513  2 La 3.24-3.27, 6 Ho 3.40-3.50
Ho  0.0000  0.0000  0.0000  2 Er 3.34, 4 Ho 3.68
Er  0.7245  0.9998  0.2755  7 Ho 3.21-3.39, 2 Er 3.31
Ho  0.0002  0.3141  0.4997  3 Ho 3.25-3.50, 2 Er 3.39, 2 La 3.50
La  0.7487  0.5000  0.7487  2 La 3.24-3.27, 6 Ho 3.40-3.50
Ho  0.5001  0.8178  0.4999  2 Er 3.21, 2 La 3.40, 1 Ho 3.43
Er  0.2755  0.0002  0.7245  7 Ho 3.21-3.39, 2 Er 3.31
Ho  0.4999  0.1822  0.5001  2 Er 3.21, 2 La 3.40, 1 Ho 3.43
Ho  0.5003  0.3141  0.9998  3 Ho 3.25-3.50, 2 Er 3.39, 2 La 3.50
Ho  0.4997  0.6859  0.0002  3 Ho 3.25-3.50, 2 Er 3.39, 2 La 3.50

Summary:
As for the mass density: 7.9 Mg/m³. The value obtained for the distance to the lowest polymorph of the same formula is 0.192 eV per atom.



# 6
A plane-wave DFT calculation with GGA-PBE was carried out for a relaxed structure of La3Ho4Er3.

abc: 3.7012 9.5280 9.5280
angles: 89.99 90.00 90.00
Closest atoms and distances in Å follow each position.
Fractional coordinates of all 10 atoms:
Er  0.5000  0.6728  0.6707  6 Ho 3.31-3.40, 2 Er 3.70
La  0.0000  0.9961  0.4928  4 Ho 3.65-3.89, 4 La 3.70-4.05, 6 Er 3.91-4.00
Ho  0.0000  0.3808  0.6192  1 Ho 3.28, 2 La 3.35, 4 Er 3.38
Ho  0.0000  0.8705  0.8808  4 Er 3.31-3.38, 3 Ho 3.35-3.70, 3 La 3.47-3.65
La  0.5000  0.1738  0.8262  6 Ho 3.35-3.47, 2 La 3.70
Er  0.5000  0.8259  0.1741  6 Ho 3.29-3.38
Ho  0.0000  0.1192  0.1295  4 Er 3.31-3.38, 3 Ho 3.35-3.70, 3 La 3.47-3.65
La  0.0000  0.5072  0.0039  4 Ho 3.65-3.89, 4 La 3.70-4.05, 6 Er 3.91-4.00
Ho  0.0000  0.6243  0.3757  1 Ho 3.28, 6 Er 3.29-3.40
Er  0.5000  0.3293  0.3272  6 Ho 3.31-3.40, 2 Er 3.70

Summary:
As for the mass density: 7.8 Mg/m³. The value obtained for the total DFT energy (no corrections) is -4.59 eV/atom.



# 7
A plane-wave DFT calculation with GGA-PBE was carried out for a relaxed structure of LaHoEr2.

abc: 7.3082 6.2368 13.0330
angles: 118.59 90.00 90.00
Closest atoms and distances in Å follow each position.
Fractional coordinates of all 16 atoms:
Ho  0.2419  0.4565  0.6247  7 Er 3.51-3.77, 1 Ho 3.55, 4 La 3.57-3.67
Er  0.9998  0.9578  0.6250  6 Er 3.51-3.59, 4 Ho 3.51-3.59, 2 La 3.65-3.66
Er  0.7581  0.4565  0.6253  5 Er 3.51-3.59, 3 Ho 3.54-3.77, 4 La 3.57-3.67
La  0.4994  0.5485  0.8750  6 Er 3.57-3.67, 4 Ho 3.57-3.67, 2 La 3.59
Er  0.7581  0.0435  0.8747  5 Er 3.51-3.59, 3 Ho 3.54-3.77, 4 La 3.57-3.67
La  0.5006  0.4515  0.1250  6 Er 3.57-3.67, 4 Ho 3.57-3.67, 2 La 3.59
Er  0.0002  0.4578  0.1250  6 Er 3.51-3.59, 4 Ho 3.51-3.59, 2 La 3.65-3.66
Er  0.9998  0.5422  0.8750  6 Er 3.51-3.59, 4 Ho 3.51-3.59, 2 La 3.65-3.66
La  0.4994  0.9515  0.6250  6 Er 3.57-3.67, 4 Ho 3.57-3.67, 2 La 3.59
Er  0.0002  0.0422  0.3750  6 Er 3.51-3.59, 4 Ho 3.51-3.59, 2 La 3.65-3.66
La  0.5006  0.0485  0.3750  6 Er 3.57-3.67, 4 Ho 3.57-3.67, 2 La 3.59
Ho  0.2419  0.0435  0.8753  7 Er 3.51-3.77, 1 Ho 3.55, 4 La 3.57-3.67
Er  0.2419  0.5435  0.3747  5 Er 3.51-3.59, 3 Ho 3.54-3.77, 4 La 3.57-3.67
Er  0.2419  0.9565  0.1253  5 Er 3.51-3.59, 3 Ho 3.54-3.77, 4 La 3.57-3.67
Ho  0.7581  0.5435  0.3753  7 Er 3.51-3.77, 1 Ho 3.55, 4 La 3.57-3.67
Ho  0.7581  0.9565  0.1247  7 Er 3.51-3.77, 1 Ho 3.55, 4 La 3.57-3.67

Summary:
As for the mass density: 8.1 Mg/m³. The value obtained for the distance to the lowest polymorph of the same formula is 0.014 eV per atom.



# 8
A plane-wave DFT calculation with GGA-PBE was carried out for a relaxed structure of La2Ho5Er3.

abc: 10.8804 9.7534 11.3172
angles: 130.20 132.31 63.48
Closest atoms and distances in Å follow each position.
Fractional coordinates of all 20 atoms:
Ho  0.4278  0.1554  0.7498  3 Er 3.30-3.64, 3 Ho 3.46-3.49, 1 La 3.63
Er  0.9523  0.2180  0.7511  1 La 3.27, 7 Ho 3.30-3.67, 1 Er 3.34
La  0.4495  0.7555  0.7487  3 Er 3.27-3.51, 3 Ho 3.46-3.63
Ho  0.4667  0.7167  0.4335  3 Ho 3.14-3.46, 2 Er 3.44, 2 La 3.46
Er  0.2988  0.5330  0.7511  1 La 3.27, 7 Ho 3.30-3.67, 1 Er 3.34
Ho  0.5333  0.2833  0.5665  3 Ho 3.14-3.46, 2 Er 3.44, 2 La 3.46
Er  0.7731  0.0231  0.0462  3 Ho 3.31-3.37, 2 Er 3.34, 4 La 3.38-3.51
Ho  0.5722  0.8446  0.2502  3 Er 3.30-3.64, 3 Ho 3.46-3.49, 1 La 3.63
La  0.2009  0.0069  0.2513  3 Er 3.27-3.51, 3 Ho 3.46-3.63
Ho  0.9952  0.7452  0.4903  5 Er 3.31-3.54, 3 Ho 3.46-3.48, 2 La 3.69
Ho  0.8220  0.5944  0.7498  3 Er 3.30-3.64, 3 Ho 3.46-3.49, 1 La 3.63
Er  0.2269  0.9769  0.9538  3 Ho 3.31-3.37, 2 Er 3.34, 4 La 3.38-3.51
Ho  0.0048  0.2548  0.5097  5 Er 3.31-3.54, 3 Ho 3.46-3.48, 2 La 3.69
Er  0.0477  0.7820  0.2489  1 La 3.27, 7 Ho 3.30-3.67, 1 Er 3.34
Ho  0.2470  0.4970  0.9940  4 Ho 3.14-3.49, 2 Er 3.39
Ho  0.7530  0.5030  0.0060  4 Ho 3.14-3.49, 2 Er 3.39
La  0.7991  0.9931  0.7487  3 Er 3.27-3.51, 3 Ho 3.46-3.63
La  0.5505  0.2445  0.2513  3 Er 3.27-3.51, 3 Ho 3.46-3.63
Ho  0.1780  0.4056  0.2502  3 Er 3.30-3.64, 3 Ho 3.46-3.49, 1 La 3.63
Er  0.7012  0.4670  0.2489  1 La 3.27, 7 Ho 3.30-3.67, 1 Er 3.34

Summary:
As for the mass density: 7.9 Mg/m³. The value obtained for the total DFT energy (no corrections) is -4.43 eV/atom.